# 1
GGA-PBE LiAs2Pt, relaxed; N(E_F) = 1.7 states/eV per cell
1.0
2.797 0.000 0.000
0.000 4.514 0.000
-0.002 0.000 5.435
Li As Pt
1 2 1
direct
0.000 0.000 0.000
0.498 0.000 0.537
0.499 0.500 0.212
0.498 0.500 0.756



# 2
GGA-PBE ScAl3H, relaxed; distance to the lowest polymorph of the same formula = 1.6198 eV/atom; N(E_F) = 7.7 states/eV per cell
1.0
5.468 0.000 0.000
0.000 5.468 0.000
0.000 0.000 5.468
Sc Al H
1 3 1
direct
0.000 0.000 0.000
0.000 0.000 0.500
0.000 0.500 0.000
0.500 0.000 0.000
0.500 0.500 0.500



# 3
GGA-PBE Dy2TmPd, relaxed; distance to the lowest polymorph of the same formula = 0.1888 eV/atom; N(E_F) = 4.5 states/eV per cell
1.0
1.836 1.060 9.584
-1.836 1.060 9.584
0.000 -2.120 9.584
Dy Tm Pd
2 1 1
direct
0.000 0.000 0.000
0.199 0.199 0.199
0.434 0.434 0.434
0.600 0.600 0.600



# 4
GGA-PBE Ni2P2Ru, relaxed; N(E_F) = 2.0 states/eV per cell
1.0
6.238 0.000 0.000
0.000 6.238 0.000
0.000 0.000 3.101
Ni P Ru
4 4 2
direct
0.139 0.361 0.000
0.361 0.861 0.000
0.639 0.139 0.000
0.861 0.639 0.000
0.152 0.652 0.500
0.348 0.152 0.500
0.652 0.848 0.500
0.848 0.348 0.500
0.000 0.000 0.500
0.500 0.500 0.500



# 5
GGA-PBE Li2SiSnTe4, relaxed; formation energy without anion corrections = -3.5 eV/f.u.
1.0
0.000 5.148 5.792
4.260 0.000 5.792
4.260 5.148 0.000
Li Si Sn Te
2 1 1 4
direct
0.000 0.000 0.500
0.500 0.500 0.000
0.238 0.238 0.762
0.774 0.774 0.226
0.144 0.561 0.439
0.335 0.864 0.665
0.561 0.144 0.856
0.864 0.335 0.136



# 6
GGA-PBE V2Ni2Rh, relaxed; distance to the lowest polymorph of the same formula = 0.3466 eV/atom; N(E_F) = 5.7 states/eV per cell
1.0
2.144 -3.220 0.000
2.144 3.220 0.000
0.000 0.000 4.955
V Ni Rh
2 2 1
direct
0.000 0.000 0.237
0.000 0.000 0.763
0.326 0.674 0.000
0.674 0.326 0.000
0.500 0.500 0.500



# 7
GGA-PBE Sm2Hg13, relaxed; N(E_F) = 6.4 states/eV per cell
1.0
4.155 2.399 6.926
-4.155 2.399 6.926
0.000 -4.798 6.926
Sm Hg
2 13
direct
0.147 0.147 0.147
0.853 0.853 0.853
0.000 0.000 0.000
0.142 0.142 0.528
0.142 0.528 0.142
0.310 0.310 0.672
0.310 0.672 0.310
0.328 0.690 0.690
0.472 0.858 0.858
0.528 0.142 0.142
0.672 0.310 0.310
0.690 0.328 0.690
0.690 0.690 0.328
0.858 0.472 0.858
0.858 0.858 0.472



# 8
GGA-PBE NaCaZr2Te, relaxed; formation energy without anion corrections = 6.3 eV/f.u.; N(E_F) = 6.8 states/eV per cell
1.0
5.277 0.000 0.000
0.000 5.277 0.000
0.000 0.000 5.202
Na Ca Zr Te
1 1 2 1
direct
0.000 0.000 0.000
0.000 0.000 0.500
0.000 0.500 0.500
0.500 0.000 0.500
0.500 0.500 0.000



The records above give, respectively, E values of -4.62, -2.76, -5.01, -6.65, -3.67, -7.30, -1.00, -3.46 eV per atom.